# CrGaSe3

Crystalline CrGaSe3 at its relaxed geometry (PBE, the Alexandria database).

Structure (extended XYZ):
```
10
Lattice="3.768 0.000 0.000 0.000 6.355 -0.732 0.000 -3.796 11.122" Properties=species:S:1:pos:R:3 pbc="T T T"
Se 2.826 5.098 -0.016
Se 2.826 3.739 6.587
Se 0.942 -1.180 3.803
Se 0.942 0.990 7.666
Se 0.942 -2.540 10.407
Se 2.826 1.568 2.724
Cr 2.826 2.324 8.742
Cr 0.942 0.235 1.649
Ga 2.826 3.884 2.201
Ga 0.942 -1.325 8.190
```

Calculated values
Uncorrected formation energy (kJ/mol of atoms): -51.0

# CrGaSe3

Crystalline CrGaSe3 at its relaxed geometry (PBE, the Alexandria database).

Structure (extended XYZ):
```
10
Lattice="3.735 0.000 -0.727 0.000 6.213 0.000 0.083 0.000 10.379" Properties=species:S:1:pos:R:3 pbc="T T T"
Cr 1.265 3.175 6.498
Cr 2.552 0.069 3.154
Ga 0.493 2.780 2.532
Ga 3.325 5.887 7.120
Se 0.893 1.478 4.585
Se 0.443 5.158 2.277
Se 1.658 4.768 8.513
Se 2.925 4.584 5.066
Se 3.374 2.052 7.375
Se 2.160 1.662 1.139
```

Calculated values
Uncorrected formation energy (kJ/mol of atoms): -54.4

# CrGaSe3

Crystalline CrGaSe3 at its relaxed geometry (PBE, the Alexandria database).

Structure (extended XYZ):
```
5
Lattice="4.883 0.000 0.000 0.000 4.883 0.000 0.000 0.000 4.883" Properties=species:S:1:pos:R:3 pbc="T T T"
Se 2.442 0.000 0.000
Se 0.000 0.000 2.442
Se 0.000 2.442 0.000
Cr 0.000 0.000 0.000
Ga 2.442 2.442 2.442
```

Calculated values
Uncorrected formation energy (kJ/mol of atoms): 4.6
Fermi-level density of states (states/eV per atom): 1.1139

# CrGaSe3

Crystalline CrGaSe3 at its relaxed geometry (PBE, the Alexandria database).

Structure (extended XYZ):
```
5
Lattice="4.962 0.000 0.000 0.000 4.962 0.000 0.000 0.000 4.962" Properties=species:S:1:pos:R:3 pbc="T T T"
Cr 2.481 2.481 2.481
Se 0.000 2.481 0.000
Se 2.481 0.000 0.000
Se 0.000 0.000 2.481
Ga 0.000 0.000 0.000
```

Calculated values
Uncorrected formation energy (kJ/mol of atoms): 44.9
Fermi-level density of states (states/eV per atom): 0.9977

Number 1: total magnetization 6.00 μB per cell. Number 2: total magnetization 5.99 μB per cell. Number 3: total magnetization 1.83 μB per cell. Number 4: total magnetization 3.46 μB per cell.